Entry 1:
Here is a geometry-optimized MnCdTcH structure from Alexandria via LeMat-Bulk. Energies are from GGA-PBE.

Summary:
Its polymorph energy (0 for the lowest one) is 69 meV/atom.

POSCAR file:
```
MnCdTcH
1.0
6.2932 -1.4543 0.0000
6.2932 1.4543 0.0000
-0.6073 0.0000 2.7414
Mn Cd Tc H
1 1 1 1
direct
0.0000 0.0000 0.0000
0.2957 0.2957 0.2848
0.6157 0.6157 0.6119
0.9240 0.9240 0.4262
```

***

Entry 2:
Here is a geometry-optimized TbPuMnZn structure from Alexandria via LeMat-Bulk. Energies are from GGA-PBE.

Summary:
The energy of formation comes out at 207 meV per atom.

POSCAR file:
```
TbPuMnZn
1.0
0.0000 3.5530 3.5530
3.5530 0.0000 3.5530
3.5530 3.5530 0.0000
Tb Pu Mn Zn
1 1 1 1
direct
0.0000 0.0000 0.0000
0.5000 0.5000 0.5000
0.2500 0.2500 0.2500
0.7500 0.7500 0.7500
```

***

Entry 3:
Here is a geometry-optimized Tl2CrNi structure from Alexandria via LeMat-Bulk. Energies are from GGA-PBE.

Summary:
The energy of formation comes out at 420 meV per atom. Its polymorph energy (0 for the lowest one) is 0 meV/atom.

POSCAR file:
```
Tl2CrNi
1.0
3.2083 0.0000 0.0000
0.0000 3.2083 0.0000
0.0000 0.0000 7.8561
Tl Cr Ni
2 1 1
direct
0.0000 0.0000 0.0000
0.5000 0.5000 0.3562
0.0000 0.0000 0.6173
0.5000 0.5000 0.7534
```